No. 1
TbCeDy3 PBE-GGA relaxed; DFT formation energy = 0.20 eV per atom
1.0
3.041 -6.006 0.000
3.041 6.006 0.000
-3.040 0.000 8.764
Tb Ce Dy
2 2 6
Direct
0.249 0.751 0.000
0.751 0.249 0.000
0.387 0.613 0.500
0.613 0.387 0.500
0.039 0.763 0.302
0.237 0.961 0.698
0.312 0.312 0.121
0.688 0.688 0.879
0.763 0.039 0.302
0.961 0.237 0.698

No. 2
TbCeDy2 PBE-GGA relaxed; DFT formation energy = 0.12 eV per atom; E above lowest polymorph = 58.8 meV per atom
1.0
22.975 0.000 0.000
0.000 3.403 0.000
-0.459 0.000 6.387
Tb Ce Dy
4 4 8
Direct
0.250 0.000 0.243
0.250 0.500 0.757
0.750 0.000 0.757
0.750 0.500 0.243
0.001 0.500 0.711
0.499 0.000 0.289
0.501 0.000 0.711
0.999 0.500 0.289
0.123 0.000 0.537
0.125 0.500 0.037
0.375 0.000 0.963
0.377 0.500 0.463
0.623 0.500 0.537
0.625 0.000 0.037
0.875 0.500 0.963
0.877 0.000 0.463

No. 3
Tb12CeDy6 PBE-GGA relaxed; DFT formation energy = 0.21 eV per atom
1.0
6.630 3.828 4.128
-6.630 3.828 4.128
0.000 -7.656 4.128
Tb Ce Dy
12 1 6
Direct
0.000 0.257 0.743
0.000 0.743 0.257
0.148 0.148 0.421
0.148 0.421 0.148
0.257 0.000 0.743
0.257 0.743 0.000
0.421 0.148 0.148
0.579 0.852 0.852
0.743 0.000 0.257
0.743 0.257 0.000
0.852 0.579 0.852
0.852 0.852 0.579
0.500 0.500 0.500
0.163 0.602 0.602
0.398 0.398 0.837
0.398 0.837 0.398
0.602 0.163 0.602
0.602 0.602 0.163
0.837 0.398 0.398